1.
The following is a DFT calculation (PBE) of a relaxed TbSm2Er3Se6 crystal.

abc: 4.0655 8.2498 9.1746
angles: 103.95 102.80 90.00
Sites, in units of the cell vectors:
1 Sm 0.1677 0.3351 0.3354
2 Sm 0.8323 0.6649 0.6646
3 Er 0.1683 0.8331 0.3367
4 Er 0.5000 0.5000 0.0000
5 Er 0.8317 0.1669 0.6633
6 Se 0.3367 0.4095 0.6734
7 Se 0.9968 0.2522 0.9937
8 Se 0.6671 0.0747 0.3342
9 Se 0.3329 0.9253 0.6658
10 Se 0.0032 0.7478 0.0063
11 Se 0.6633 0.5905 0.3266
12 Tb 0.5000 0.0000 0.0000

Computed properties:
The volume comes out at 290.8 Å³/cell. The value obtained for the size of the total moment is 0.0 μB/f.u. The uncorrected formation energy comes out at -1.751 eV/atom. The value obtained for the density of states at the Fermi level is 0.4448 states/eV per atom.

---

2.
The following is a DFT calculation (PBE) of a relaxed AlV2Ga3 crystal.

abc: 3.6838 8.4717 6.3378
angles: 103.75 90.00 102.56
Sites, in units of the cell vectors:
1 Ga 0.0783 0.1566 0.5551
2 Ga 0.6173 0.2347 0.8642
3 Ga 0.9217 0.8434 0.4449
4 Ga 0.3059 0.6117 0.4865
5 Ga 0.6941 0.3883 0.5135
6 Ga 0.3827 0.7653 0.1358
7 V 0.7599 0.5197 0.1518
8 V 0.2401 0.4803 0.8482
9 V 0.5398 0.0795 0.1992
10 V 0.4602 0.9205 0.8008
11 Al 0.8531 0.7061 0.8312
12 Al 0.1469 0.2939 0.1688

Computed properties:
The volume comes out at 187.2 Å³/cell. The value obtained for the size of the total moment is 0.0 μB/f.u. Its formation energy is 0.01 eV per atom. The value obtained for the density of states at the Fermi level is 0.4350 states/eV per atom.

---

3.
The following is a DFT calculation (PBE) of a relaxed Rb2ZrMnI6 crystal.

abc: 8.2983 8.2983 8.3012
angles: 60.01 60.01 90.00
Sites, in units of the cell vectors:
1 Rb 0.7500 0.2500 0.5000
2 Rb 0.2500 0.7500 0.5000
3 I 0.7475 0.7475 0.5051
4 I 0.7474 0.7474 0.0000
5 I 0.2526 0.7474 0.0000
6 I 0.7474 0.2526 0.0000
7 I 0.2526 0.2526 0.0000
8 I 0.2525 0.2525 0.4949
9 Mn 0.5000 0.5000 0.0000
10 Zr 0.0000 0.0000 0.0000

Computed properties:
The volume comes out at 404.3 Å³/cell. The value obtained for the size of the total moment is 6.1 μB/f.u. The uncorrected formation energy comes out at -0.814 eV/atom. The value obtained for the density of states at the Fermi level is 1.3535 states/eV per atom.

---

4.
The following is a DFT calculation (PBE) of a relaxed ZrHSe2Br crystal.

abc: 5.2041 5.2041 5.4586
angles: 90.00 90.00 90.00
Sites, in units of the cell vectors:
1 Se 0.5000 0.0000 0.0000
2 Se 0.0000 0.5000 0.0000
3 H 0.5000 0.5000 0.5000
4 Br 0.0000 0.0000 0.5000
5 Zr 0.0000 0.0000 0.0000

Computed properties:
The volume comes out at 147.8 Å³/cell. The value obtained for the size of the total moment is 0.6 μB/f.u. As for the excess energy over the best structure of this formula in the dataset: 0.0000 eV/atom. The value obtained for the density of states at the Fermi level is 0.8888 states/eV per atom.

---

What is the formula in the second record?
AlV2Ga3